(1)
Crystalline SmHo3N4 at its relaxed geometry. Source: Alexandria, functional PBE-GGA.

Lattice parameters (Å, degrees): 6.035 6.036 6.976 90.00 90.00 109.46
Fractional positions:
Ho 0.750 0.000 0.376
Ho 0.250 0.000 0.624
Ho 0.750 0.500 0.624
Ho 0.750 0.500 0.127
Ho 0.250 0.500 0.376
Ho 0.250 0.500 0.873
Sm 0.750 0.000 0.874
Sm 0.250 0.000 0.126
N 0.004 0.252 0.622
N 0.499 0.257 0.871
N 0.504 0.252 0.378
N 0.999 0.257 0.129
N 0.001 0.743 0.871
N 0.496 0.748 0.622
N 0.501 0.743 0.129
N 0.996 0.748 0.378

## Properties
- Space-group type: P2/c, No. 13

***

(2)
Crystalline SmHo3N4 at its relaxed geometry. Source: Alexandria, functional PBE-GGA.

Lattice parameters (Å, degrees): 4.932 4.932 4.932 90.00 90.00 90.00
Fractional positions:
Sm 0.000 0.000 0.000
Ho 0.000 0.500 0.500
Ho 0.500 0.000 0.500
Ho 0.500 0.500 0.000
N 0.500 0.000 0.000
N 0.000 0.500 0.000
N 0.000 0.000 0.500
N 0.500 0.500 0.500

## Properties
- Space-group type: Pm-3m, No. 221

***

Stability comparison, relative energies in meV/atom: (1) 0; (2) 8

***

(1)
Crystalline SmHoN at its relaxed geometry. Source: Alexandria, functional PBE-GGA.

Lattice parameters (Å, degrees): 4.288 4.288 4.288 60.00 60.00 60.00
Fractional positions:
Ho 0.000 0.000 0.000
Sm 0.500 0.500 0.500
N 0.250 0.250 0.250

## Properties
- Space-group type: F-43m, No. 216

***

(2)
Crystalline SmHoN at its relaxed geometry. Source: Alexandria, functional PBE-GGA.

Lattice parameters (Å, degrees): 3.523 3.523 6.134 90.00 90.00 120.00
Site moments in Bohr magnetons follow the coordinates.
Fractional positions:
Ho 0.333 0.667 0.547  0.23
Sm 0.000 0.000 0.105  0.15
N 0.667 0.333 0.348  -0.01

## Properties
- Space-group type: P3m1, No. 156

***

Stability comparison, relative energies in meV/atom: (1) 674; (2) 0

***

(1)
Crystalline TbHo2N at its relaxed geometry. Source: Alexandria, functional PBE-GGA.

Lattice parameters (Å, degrees): 3.467 3.467 9.166 79.10 79.10 60.00
Fractional positions:
Tb 0.500 0.500 0.500
Ho 0.283 0.283 0.151
Ho 0.717 0.717 0.849
N 0.000 0.000 0.000

## Properties
- Space-group type: R-3m, No. 166

***

(2)
Crystalline TbHo2N at its relaxed geometry. Source: Alexandria, functional PBE-GGA.

Lattice parameters (Å, degrees): 3.165 3.165 8.720 90.00 90.00 90.00
Fractional positions:
Tb 0.500 0.500 0.500
Ho 0.000 0.000 0.839
Ho 0.000 0.000 0.161
N 0.500 0.500 0.000

## Properties
- Space-group type: P4/mmm, No. 123

***

Stability comparison, relative energies in meV/atom: (1) 0; (2) 590

***

(1)
Crystalline TbHoN at its relaxed geometry. Source: Alexandria, functional PBE-GGA.

Lattice parameters (Å, degrees): 3.493 3.493 6.000 90.00 90.00 120.00
Site moments in Bohr magnetons follow the coordinates.
Fractional positions:
Tb 0.000 0.000 0.108  0.23
Ho 0.333 0.667 0.554  0.24
N 0.667 0.333 0.338  -0.01

## Properties
- Space-group type: P3m1, No. 156

***

(2)
Crystalline TbHoN at its relaxed geometry. Source: Alexandria, functional PBE-GGA.

Lattice parameters (Å, degrees): 4.240 4.240 4.240 60.00 60.00 60.00
Fractional positions:
Tb 0.500 0.500 0.500
Ho 0.000 0.000 0.000
N 0.250 0.250 0.250

## Properties
- Space-group type: F-43m, No. 216

***

Stability comparison, relative energies in meV/atom: (1) 0; (2) 713

***

(1)
Crystalline Ho4Te3N2 at its relaxed geometry. Source: Alexandria, functional PBE-GGA.

Lattice parameters (Å, degrees): 6.498 8.441 8.441 74.47 88.85 88.85
Fractional positions:
Ho 0.475 0.940 0.331
Ho 0.025 0.669 0.060
Ho 0.525 0.060 0.669
Ho 0.975 0.331 0.940
Ho 0.092 0.254 0.395
Ho 0.408 0.605 0.746
Ho 0.908 0.746 0.605
Ho 0.592 0.395 0.254
Te 0.955 0.978 0.244
Te 0.545 0.756 0.022
Te 0.045 0.022 0.756
Te 0.455 0.244 0.978
Te 0.250 0.590 0.410
Te 0.750 0.410 0.590
N 0.423 0.168 0.411
N 0.077 0.589 0.832
N 0.577 0.832 0.589
N 0.923 0.411 0.168

## Properties
- Space-group type: C2/c, No. 15

***

(2)
Crystalline Ho4Te3N2 at its relaxed geometry. Source: Alexandria, functional PBE-GGA.

Lattice parameters (Å, degrees): 3.609 7.160 8.784 103.51 90.00 104.60
Fractional positions:
Ho 0.682 0.365 0.097
Ho 0.092 0.183 0.699
Ho 0.908 0.817 0.301
Ho 0.318 0.635 0.903
Te 0.395 0.790 0.589
Te 0.000 0.000 0.000
Te 0.605 0.210 0.411
N 0.300 0.599 0.155
N 0.700 0.401 0.845

## Properties
- Space-group type: C2/m, No. 12

***

Stability comparison, relative energies in meV/atom: (1) 0; (2) 144

***

(1)
Crystalline HoThN at its relaxed geometry. Source: Alexandria, functional PBE-GGA.

Lattice parameters (Å, degrees): 4.385 4.385 4.385 60.00 60.00 60.00
Fractional positions:
Ho 0.000 0.000 0.000
Th 0.500 0.500 0.500
N 0.250 0.250 0.250

## Properties
- Space-group type: F-43m, No. 216

***

(2)
Crystalline HoThN at its relaxed geometry. Source: Alexandria, functional PBE-GGA.

Lattice parameters (Å, degrees): 3.541 3.541 6.213 90.00 90.00 120.00
Site moments in Bohr magnetons follow the coordinates.
Fractional positions:
Ho 0.333 0.667 0.550  0.21
Th 0.000 0.000 0.101  -0.08
N 0.667 0.333 0.349  -0.02

## Properties
- Space-group type: P3m1, No. 156

***

Stability comparison, relative energies in meV/atom: (1) 808; (2) 0